Record 1
DFT (PBE-GGA) results for a relaxed structure of LiIn3Ge.

As for the density of states at the Fermi level: 4.0 states/eV/cell. For the formation energy from the elements, the calculation gives 327 meV/atom.

The structure belongs to space group Pm-3m (No. 221); the cell edges are 5.008, 5.008 and 5.008 Å and the angles 90.00°, 90.00° and 90.00°. The inequivalent atoms are Li at (0.000, 0.000, 0.000), In at (0.000, 0.000, 0.500) and Ge at (0.500, 0.500, 0.500).

=====

Record 2
DFT (PBE-GGA) results for a relaxed structure of CuSbMo3.

As for the density of states at the Fermi level: 7.0 states/eV/cell. The value obtained for the uncorrected formation energy is 7.0 eV/f.u.

The structure belongs to space group Pm-3m (No. 221); the cell edges are 4.556, 4.556 and 4.556 Å and the angles 90.00°, 90.00° and 90.00°. The inequivalent atoms are Cu at (0.000, 0.000, 0.000), Sb at (0.500, 0.500, 0.500) and Mo at (0.000, 0.000, 0.500).

=====

Record 3
DFT (PBE-GGA) results for a relaxed structure of CeGa4Sb.

As for the density of states at the Fermi level: 36.5 states/eV/cell. The value obtained for the uncorrected formation energy is -1.4 eV/f.u.

The structure belongs to space group F-43m (No. 216); the cell edges are 7.973, 7.973 and 7.973 Å and the angles 90.00°, 90.00° and 90.00°. The inequivalent atoms are Ce at (0.000, 0.000, 0.000), Ga at (0.125, 0.125, 0.625) and Sb at (0.250, 0.250, 0.250).

=====

Record 4
DFT (PBE-GGA) results for a relaxed structure of K2Cd3In4Au.

As for the density of states at the Fermi level: 3.8 states/eV/cell. For the formation energy from the elements, the calculation gives -121 meV/atom.

The structure belongs to space group P-4m2 (No. 115); the cell edges are 5.042, 5.042 and 11.750 Å and the angles 90.00°, 90.00° and 90.00°. The inequivalent atoms are K at (0.000, 0.500, 0.241), Cd at (0.000, 0.000, 0.000), Cd at (0.000, 0.500, 0.638), In at (0.000, 0.000, 0.500), In at (0.000, 0.500, 0.885), In at (0.500, 0.500, 0.500) and Au at (0.500, 0.500, 0.000).

=====

Record 5
DFT (PBE-GGA) results for a relaxed structure of Zr8Bi.

As for the density of states at the Fermi level: 22.9 states/eV/cell. For the formation energy from the elements, the calculation gives -94 meV/atom.

The structure belongs to space group I4/mmm (No. 139); the cell edges are 9.973, 9.973 and 4.231 Å and the angles 90.00°, 90.00° and 90.00°. The inequivalent atoms are Zr at (0.000, 0.336, 0.000), Zr at (0.170, 0.170, 0.500) and Bi at (0.000, 0.000, 0.000).

=====

Record 6
DFT (PBE-GGA) results for a relaxed structure of Hf3TaNb.

As for the density of states at the Fermi level: 8.3 states/eV/cell. For the formation energy from the elements, the calculation gives 1304 meV/atom.

The structure belongs to space group Pm-3m (No. 221); the cell edges are 4.953, 4.953 and 4.953 Å and the angles 90.00°, 90.00° and 90.00°. The inequivalent atoms are Hf at (0.000, 0.000, 0.500), Ta at (0.500, 0.500, 0.500) and Nb at (0.000, 0.000, 0.000).

=====

Record 7
DFT (PBE-GGA) results for a relaxed structure of Nb2TlTc2.

As for the density of states at the Fermi level: 11.1 states/eV/cell. For the formation energy from the elements, the calculation gives 253 meV/atom.

The structure belongs to space group P4/mbm (No. 127); the cell edges are 7.621, 7.621 and 3.143 Å and the angles 90.00°, 90.00° and 90.00°. The inequivalent atoms are Nb at (0.152, 0.348, 0.000), Tl at (0.000, 0.000, 0.500) and Tc at (0.139, 0.639, 0.500).

=====

Record 8
DFT (PBE-GGA) results for a relaxed structure of Nd2AlCu.

As for the density of states at the Fermi level: 3.9 states/eV/cell. For the formation energy from the elements, the calculation gives -242 meV/atom.

The structure belongs to space group P4/mmm (No. 123); the cell edges are 3.587, 3.587 and 7.634 Å and the angles 90.00°, 90.00° and 90.00°. The inequivalent atoms are Nd at (0.000, 0.000, 0.239), Al at (0.500, 0.500, 0.500) and Cu at (0.500, 0.500, 0.000).

=====

Record 9
DFT (PBE-GGA) results for a relaxed structure of TlSi2AuSe6.

The value obtained for the uncorrected formation energy is -2.6 eV/f.u.

The structure belongs to space group C2/c (No. 15); the cell edges are 13.857, 14.103 and 6.518 Å and the angles 90.00°, 116.00° and 90.00°. The inequivalent atoms are Tl at (0.000, 0.191, 0.250), Si at (0.213, 0.430, 0.292), Au at (0.000, 0.303, 0.750), Se at (0.110, 0.072, 0.617), Se at (0.142, 0.441, 0.552) and Se at (0.149, 0.280, 0.129).

=====

Record 10
DFT (PBE-GGA) results for a relaxed structure of KNa2ZnCu.

As for the density of states at the Fermi level: 2.9 states/eV/cell. For the formation energy from the elements, the calculation gives 154 meV/atom.

The structure belongs to space group P4/mmm (No. 123); the cell edges are 5.574, 5.574 and 4.912 Å and the angles 90.00°, 90.00° and 90.00°. The inequivalent atoms are K at (0.000, 0.000, 0.000), Na at (0.000, 0.500, 0.500), Zn at (0.500, 0.500, 0.000) and Cu at (0.500, 0.500, 0.500).